--- P ---
Density functional theory data (PBE) for GeOsPt after structural relaxation.

Lattice parameters (Å, degrees): 3.9730 5.2455 5.4508 62.29 80.59 68.27
Atoms (fractional coordinates):
Ge 0.7464 0.3529 0.8428
Ge 0.2536 0.6471 0.1572
Os 0.0958 0.7156 0.6799
Os 0.9042 0.2844 0.3201
Pt 0.4075 0.1037 0.7153
Pt 0.5925 0.8963 0.2847

M_tot (μB/f.u.): 0.0
SG: P-1, No. 2
Mass density (g/cm3): 16.28

=====

--- Q ---
Density functional theory data (PBE) for GeOsPt after structural relaxation.

Lattice parameters (Å, degrees): 4.9934 3.9140 5.4811 90.00 115.17 90.00
Atoms (fractional coordinates):
Ge 0.3919 0.5000 0.4662
Ge 0.6851 0.0000 0.9501
Os 0.1247 0.0000 0.5824
Os 0.7968 0.5000 0.3051
Pt 0.3168 0.0000 0.1362
Pt 0.9273 0.5000 0.8365

M_tot (μB/f.u.): 0.0
SG: Pm, No. 6
Mass density (g/cm3): 15.69

=====

Decreasing stability: P, Q

=====

--- P ---
Density functional theory data (PBE) for GeOsPt after structural relaxation.

Lattice parameters (Å, degrees): 4.2232 4.6770 5.4500 109.25 97.81 106.19
Atoms (fractional coordinates):
Ge 0.2330 0.3988 0.1167
Ge 0.7670 0.6012 0.8833
Os 0.8944 0.6841 0.3813
Os 0.1056 0.3159 0.6187
Pt 0.4667 0.0429 0.2634
Pt 0.5333 0.9571 0.7366

M_tot (μB/f.u.): 0.0
SG: P-1, No. 2
Mass density (g/cm3): 16.10

=====

--- Q ---
Density functional theory data (PBE) for GeOsPt after structural relaxation.

Lattice parameters (Å, degrees): 4.8145 10.0379 4.6296 90.00 122.23 90.00
Atoms (fractional coordinates):
Ge 0.3261 0.6214 0.0668
Ge 0.8261 0.3786 0.5668
Ge 0.3261 0.1214 0.5668
Ge 0.8261 0.8786 0.0668
Os 0.0908 0.4349 0.2268
Os 0.5908 0.5651 0.7268
Os 0.0908 0.9349 0.7268
Os 0.5908 0.0651 0.2268
Pt 0.4544 0.8247 0.4392
Pt 0.9544 0.1753 0.9392
Pt 0.4544 0.3247 0.9392
Pt 0.9544 0.6753 0.4392

M_tot (μB/f.u.): 0.0
SG: Cc, No. 9
Mass density (g/cm3): 16.07

=====

Decreasing stability: Q, P

=====

--- P ---
Density functional theory data (PBE) for PuUGeOs after structural relaxation.

Lattice parameters (Å, degrees): 4.7589 4.7589 4.7589 60.00 60.00 60.00
Last column: magnetic moment on the atom in μB.
Atoms (fractional coordinates):
Os 0.5000 0.5000 0.5000  -0.19
Ge 0.2500 0.2500 0.2500  0.07
U 0.7500 0.7500 0.7500  2.27
Pu 0.0000 0.0000 0.0000  5.43

M_tot (μB/f.u.): 7.9
SG: F-43m, No. 216
Mass density (g/cm3): 16.23

=====

--- Q ---
Density functional theory data (PBE) for PuUGeOs after structural relaxation.

Lattice parameters (Å, degrees): 3.3568 4.8929 5.7636 124.27 90.00 90.00
Last column: magnetic moment on the atom in μB.
Atoms (fractional coordinates):
Pu 0.0000 0.8921 0.0924  5.06
U 0.0000 0.8912 0.5929  1.92
Ge 0.5000 0.3920 0.0924  -0.06
Os 0.5000 0.3907 0.5921  -0.41

M_tot (μB/f.u.): 6.7
SG: Pm, No. 6
Mass density (g/cm3): 15.81

=====

Decreasing stability: Q, P

=====

--- P ---
Density functional theory data (PBE) for RbGeOs3 after structural relaxation.

Lattice parameters (Å, degrees): 4.7367 4.7367 4.7367 90.00 90.00 90.00
Last column: magnetic moment on the atom in μB.
Atoms (fractional coordinates):
Ge 0.0000 0.0000 0.0000  -0.04
Os 0.0000 0.5000 0.0000  0.85
Os 0.0000 0.0000 0.5000  0.83
Os 0.5000 0.0000 0.0000  0.55
Rb 0.5000 0.5000 0.5000  0.01

M_tot (μB/f.u.): 2.4
SG: Pm-3m, No. 221
Mass density (g/cm3): 11.39

=====

--- Q ---
Density functional theory data (PBE) for RbGeOs3 after structural relaxation.

Lattice parameters (Å, degrees): 4.8054 4.8054 4.8054 90.00 90.00 90.00
Last column: magnetic moment on the atom in μB.
Atoms (fractional coordinates):
Ge 0.5000 0.5000 0.5000  -0.06
Os 0.0000 0.5000 0.0000  0.98
Os 0.0000 0.0000 0.5000  0.81
Os 0.5000 0.0000 0.0000  0.85
Rb 0.0000 0.0000 0.0000  0.06

M_tot (μB/f.u.): 2.8
SG: Pm-3m, No. 221
Mass density (g/cm3): 10.91

=====

Decreasing stability: P, Q

=====

--- P ---
Density functional theory data (PBE) for RbGe2Os2 after structural relaxation.

Lattice parameters (Å, degrees): 4.5510 4.5510 5.8885 67.27 67.27 90.00
Atoms (fractional coordinates):
Ge 0.7500 0.2500 0.5000
Ge 0.2500 0.7500 0.5000
Os 0.3790 0.3790 0.2421
Os 0.6210 0.6210 0.7579
Rb 0.0000 0.0000 0.0000

M_tot (μB/f.u.): 0.0
SG: I4/mmm, No. 139
Mass density (g/cm3): 9.94

=====

--- Q ---
Density functional theory data (PBE) for RbGe2Os2 after structural relaxation.

Lattice parameters (Å, degrees): 7.9392 7.9392 2.8526 90.00 90.00 90.00
Atoms (fractional coordinates):
Ge 0.1467 0.6467 0.5000
Ge 0.6467 0.8533 0.5000
Ge 0.8533 0.3533 0.5000
Ge 0.3533 0.1467 0.5000
Os 0.3673 0.8673 0.0000
Os 0.8673 0.6327 0.0000
Os 0.6327 0.1327 0.0000
Os 0.1327 0.3673 0.0000
Rb 0.0000 0.0000 0.0000
Rb 0.5000 0.5000 0.0000

M_tot (μB/f.u.): 0.0
SG: P4/mbm, No. 127
Mass density (g/cm3): 11.29

=====

Decreasing stability: P, Q

=====

--- P ---
Density functional theory data (PBE) for ReGeOs3 after structural relaxation.

Lattice parameters (Å, degrees): 4.4476 4.4476 4.4476 90.00 90.00 90.00
Last column: magnetic moment on the atom in μB.
Atoms (fractional coordinates):
Re 0.5000 0.5000 0.5000  2.01
Ge 0.0000 0.0000 0.0000  0.03
Os 0.0000 0.5000 0.0000  0.01
Os 0.0000 0.0000 0.5000  0.07
Os 0.5000 0.0000 0.0000  -0.05

M_tot (μB/f.u.): 2.3
SG: Pm-3m, No. 221
Mass density (g/cm3): 15.66

=====

--- Q ---
Density functional theory data (PBE) for ReGeOs3 after structural relaxation.

Lattice parameters (Å, degrees): 4.7317 4.7317 4.7317 90.00 90.00 90.00
Atoms (fractional coordinates):
Re 0.0000 0.0000 0.0000
Ge 0.5000 0.5000 0.5000
Os 0.0000 0.5000 0.0000
Os 0.0000 0.0000 0.5000
Os 0.5000 0.0000 0.0000

M_tot (μB/f.u.): 0.0
SG: Pm-3m, No. 221
Mass density (g/cm3): 13.00

=====

Decreasing stability: P, Q

=====

--- P ---
Density functional theory data (PBE) for ReGe2Os after structural relaxation.

Lattice parameters (Å, degrees): 4.3394 4.3394 4.3394 60.00 60.00 60.00
Atoms (fractional coordinates):
Re 0.0000 0.0000 0.0000
Ge 0.2500 0.2500 0.2500
Ge 0.7500 0.7500 0.7500
Os 0.5000 0.5000 0.5000

M_tot (μB/f.u.): 0.0
SG: Fm-3m, No. 225
Mass density (g/cm3): 14.99

=====

--- Q ---
Density functional theory data (PBE) for ReGe2Os after structural relaxation.

Lattice parameters (Å, degrees): 7.1055 7.1055 5.6681 51.19 51.19 90.00
Atoms (fractional coordinates):
Re 0.5000 0.5000 0.0000
Re 0.2500 0.7500 0.5000
Ge 0.6346 0.1250 0.2500
Ge 0.1154 0.6250 0.2500
Ge 0.3750 0.3654 0.7500
Ge 0.8750 0.8846 0.7500
Os 0.0000 0.0000 0.0000
Os 0.7500 0.2500 0.5000

M_tot (μB/f.u.): 0.0
SG: I-42d, No. 122
Mass density (g/cm3): 13.08

=====

--- R ---
Density functional theory data (PBE) for ReGe2Os after structural relaxation.

Lattice parameters (Å, degrees): 2.8810 2.8810 9.1339 80.93 80.93 60.00
Atoms (fractional coordinates):
Re 0.0000 0.0000 0.0000
Ge 0.0942 0.0942 0.7173
Ge 0.9058 0.9058 0.2827
Os 0.5000 0.5000 0.5000

M_tot (μB/f.u.): 0.0
SG: R-3m, No. 166
Mass density (g/cm3): 13.42

=====

Decreasing stability: P, R, Q

=====

--- P ---
Density functional theory data (PBE) for GeOsRh3 after structural relaxation.

Lattice parameters (Å, degrees): 4.7141 4.7141 4.7141 90.00 90.00 90.00
Atoms (fractional coordinates):
Rh 0.0000 0.5000 0.0000
Rh 0.0000 0.0000 0.5000
Rh 0.5000 0.0000 0.0000
Ge 0.5000 0.5000 0.5000
Os 0.0000 0.0000 0.0000

M_tot (μB/f.u.): 0.0
SG: Pm-3m, No. 221
Mass density (g/cm3): 9.06

=====

--- Q ---
Density functional theory data (PBE) for GeOsRh3 after structural relaxation.

Lattice parameters (Å, degrees): 4.4810 4.4810 4.4810 90.00 90.00 90.00
Last column: magnetic moment on the atom in μB.
Atoms (fractional coordinates):
Rh 0.0000 0.5000 0.0000  0.49
Rh 0.0000 0.0000 0.5000  0.49
Rh 0.5000 0.0000 0.0000  0.65
Ge 0.0000 0.0000 0.0000  0.01
Os 0.5000 0.5000 0.5000  2.94

M_tot (μB/f.u.): 4.8
SG: Pm-3m, No. 221
Mass density (g/cm3): 10.55

=====

Decreasing stability: Q, P

=====

--- P ---
Density functional theory data (PBE) for GeOsRu after structural relaxation.

Lattice parameters (Å, degrees): 2.9412 2.9412 9.8171 90.00 90.00 90.00
Atoms (fractional coordinates):
Ge 0.0000 0.0000 0.7791
Ge 0.5000 0.5000 0.2791
Os 0.0000 0.0000 0.1222
Os 0.5000 0.5000 0.6222
Ru 0.0000 0.0000 0.4349
Ru 0.5000 0.5000 0.9349

M_tot (μB/f.u.): 0.0
SG: I4mm, No. 107
Mass density (g/cm3): 14.23

=====

--- Q ---
Density functional theory data (PBE) for GeOsRu after structural relaxation.

Lattice parameters (Å, degrees): 5.3008 4.0606 9.5445 90.00 122.05 90.00
Atoms (fractional coordinates):
Ge 0.6778 0.0000 0.0233
Ge 0.6778 0.5000 0.5233
Ge 0.9333 0.0000 0.3568
Ge 0.9333 0.5000 0.8568
Os 0.5844 0.0000 0.7332
Os 0.5844 0.5000 0.2332
Os 0.3914 0.0000 0.3458
Os 0.3914 0.5000 0.8458
Ru 0.2157 0.0000 0.0288
Ru 0.2157 0.5000 0.5288
Ru 0.0135 0.0000 0.6432
Ru 0.0135 0.5000 0.1432

M_tot (μB/f.u.): 0.0
SG: Cm, No. 8
Mass density (g/cm3): 13.88

=====

Decreasing stability: Q, P

=====

--- P ---
Density functional theory data (PBE) for GeOsRu after structural relaxation.

Lattice parameters (Å, degrees): 5.4153 3.9688 8.3881 90.00 102.59 90.00
Atoms (fractional coordinates):
Ge 0.0247 0.0000 0.3728
Ge 0.0247 0.5000 0.8728
Ge 0.6214 0.0000 0.6657
Ge 0.6214 0.5000 0.1657
Os 0.8237 0.0000 0.0726
Os 0.8237 0.5000 0.5726
Os 0.2973 0.0000 0.9983
Os 0.2973 0.5000 0.4983
Ru 0.1777 0.0000 0.6900
Ru 0.1777 0.5000 0.1900
Ru 0.5483 0.0000 0.3408
Ru 0.5483 0.5000 0.8408

M_tot (μB/f.u.): 0.0
SG: Cm, No. 8
Mass density (g/cm3): 13.74

=====

--- Q ---
Density functional theory data (PBE) for GeOsRu after structural relaxation.

Lattice parameters (Å, degrees): 5.4922 7.8078 4.5246 90.00 114.21 90.00
Atoms (fractional coordinates):
Ge 0.6366 0.3743 0.3443
Ge 0.1366 0.6257 0.8443
Ge 0.6366 0.8743 0.8443
Ge 0.1366 0.1257 0.3443
Os 0.2188 0.4587 0.4060
Os 0.7188 0.5413 0.9060
Os 0.2188 0.9587 0.9060
Os 0.7188 0.0413 0.4060
Ru 0.0504 0.7920 0.3170
Ru 0.5504 0.2080 0.8170
Ru 0.0504 0.2920 0.8170
Ru 0.5504 0.7080 0.3170

M_tot (μB/f.u.): 0.0
SG: Cc, No. 9
Mass density (g/cm3): 13.66

=====

Decreasing stability: P, Q

=====

--- P ---
Density functional theory data (PBE) for GeOsRu after structural relaxation.

Lattice parameters (Å, degrees): 2.8082 2.8054 5.9408 90.00 90.00 90.00
Atoms (fractional coordinates):
Ge 0.5000 0.5000 0.3248
Os 0.0000 0.5000 0.9637
Ru 0.5000 0.0000 0.6824

M_tot (μB/f.u.): 0.0
SG: Pmm2, No. 25
Mass density (g/cm3): 12.91

=====

--- Q ---
Density functional theory data (PBE) for GeOsRu after structural relaxation.

Lattice parameters (Å, degrees): 6.1032 3.8458 8.6846 90.00 111.39 90.00
Atoms (fractional coordinates):
Ge 0.6449 0.0000 0.0338
Ge 0.6449 0.5000 0.5338
Ge 0.9626 0.0000 0.3413
Ge 0.9626 0.5000 0.8413
Os 0.3639 0.0000 0.5619
Os 0.3639 0.5000 0.0619
Os 0.5283 0.0000 0.2961
Os 0.5283 0.5000 0.7961
Ru 0.0728 0.0000 0.0754
Ru 0.0728 0.5000 0.5754
Ru 0.2435 0.0000 0.8175
Ru 0.2435 0.5000 0.3175

M_tot (μB/f.u.): 0.0
SG: Cm, No. 8
Mass density (g/cm3): 12.74

=====

--- R ---
Density functional theory data (PBE) for GeOsRu after structural relaxation.

Lattice parameters (Å, degrees): 2.8256 2.8256 6.5135 90.00 90.00 120.00
Atoms (fractional coordinates):
Ge 0.0000 0.0000 0.3513
Os 0.0000 0.0000 0.9699
Ru 0.3333 0.6667 0.6496

M_tot (μB/f.u.): 0.0
SG: P3m1, No. 156
Mass density (g/cm3): 13.42

=====

--- S ---
Density functional theory data (PBE) for GeOsRu after structural relaxation.

Lattice parameters (Å, degrees): 5.2675 4.0683 9.6098 90.00 122.05 90.00
Atoms (fractional coordinates):
Ge 0.1271 0.0000 0.1677
Ge 0.8729 0.0000 0.8323
Ge 0.1271 0.5000 0.6677
Ge 0.8729 0.5000 0.3323
Os 0.2135 0.0000 0.4543
Os 0.7865 0.0000 0.5457
Os 0.2135 0.5000 0.9543
Os 0.7865 0.5000 0.0457
Ru 0.4128 0.0000 0.8421
Ru 0.5872 0.0000 0.1579
Ru 0.4128 0.5000 0.3421
Ru 0.5872 0.5000 0.6579

M_tot (μB/f.u.): 0.0
SG: C2/m, No. 12
Mass density (g/cm3): 13.85

=====

Decreasing stability: P, R, S, Q